This record from Alexandria via LeMat-Bulk describes a relaxed SmHoMgGa crystal. The functional is PBE-GGA.

abc: 5.2041 5.2041 5.2041
angles: 60.00 60.00 60.00
Fractional coordinates of all 4 atoms:
Mg  0.7500  0.7500  0.7500
Ga  0.2500  0.2500  0.2500
Ho  0.0000  0.0000  0.0000
Sm  0.5000  0.5000  0.5000

The formation enthalpy at 0 K comes out at -1.35 eV per formula unit. Its crystal system is cubic.

***

This record from Alexandria via LeMat-Bulk describes a relaxed Zr2TaNbFe crystal. The functional is PBE-GGA.

abc: 5.0657 4.2935 5.0657
angles: 90.00 90.00 90.00
Fractional coordinates of all 5 atoms:
Nb  0.0000  0.0000  0.0000
Fe  0.0000  0.5000  0.0000
Zr  0.0000  0.0000  0.5000
Zr  0.5000  0.0000  0.0000
Ta  0.5000  0.5000  0.5000

The formation enthalpy at 0 K comes out at 6.33 eV per formula unit. Its crystal system is tetragonal.

***

This record from Alexandria via LeMat-Bulk describes a relaxed HgPb2Cl2 crystal. The functional is PBE-GGA.

abc: 5.9024 5.9024 6.3691
angles: 62.40 62.40 90.00
Fractional coordinates of all 5 atoms:
Pb  0.3187  0.3187  0.3625
Pb  0.6813  0.6813  0.6375
Hg  0.0000  0.0000  0.0000
Cl  0.7500  0.2500  0.5000
Cl  0.2500  0.7500  0.5000

For the total energy, the calculation gives -2.75 eV/atom. Its crystal system is tetragonal.

***

This record from Alexandria via LeMat-Bulk describes a relaxed YAsOs2 crystal. The functional is PBE-GGA.

abc: 5.4789 5.4789 5.4789
angles: 147.61 128.13 62.49
Fractional coordinates of all 4 atoms:
Y  0.7500  0.2500  0.5000
As  0.2500  0.7500  0.5000
Os  0.0300  0.0300  0.0000
Os  0.4700  0.4700  0.0000

The formation enthalpy at 0 K comes out at 0.58 eV per formula unit. Its crystal system is orthorhombic.

***

Volume (A^3/atom)
24.915; 22.035; 33.522; 17.149